[1]
Computed, not measured: YCrAs2Se at its PBEsol-relaxed geometry at the SCAN level of DFT.

Total magnetic moment (Bohr magnetons per cell): 2.14
Space-group type: P4/mmm
Total energy (eV per formula unit): -108.970
Raw formation energy (eV per atom): -0.46

```
YCrAs2Se
1.0
-3.850 2.371 -0.122
-0.488 -1.018 -4.380
-2.651 -4.239 1.280
Se As Y Cr
1 2 1 1
direct
0.000 0.000 0.500
0.000 0.500 0.000
0.500 0.000 0.000
0.500 0.500 0.500
0.000 0.000 0.000
```

[2]
Computed, not measured: Cr2SiAs at its PBEsol-relaxed geometry at the SCAN level of DFT.

Total magnetic moment (Bohr magnetons per cell): 0.00
Space-group type: Imm2
Energy relative to the lowest polymorph listed for this composition (eV/atom): 0.1171
Total energy (eV per formula unit): -66.424
Raw formation energy (eV per atom): 0.14

```
Cr2SiAs
1.0
-2.151 1.213 1.850
1.857 -1.471 3.123
2.323 3.523 -2.182
Cr As Si
2 1 1
direct
0.754 0.254 0.508
0.999 0.999 0.997
0.258 0.758 0.517
0.489 0.489 0.978
```

[3]
Computed, not measured: Cr2SiAs at its PBEsol-relaxed geometry at the SCAN level of DFT.

Total magnetic moment (Bohr magnetons per cell): 3.06
Space-group type: P4/mmm
Energy relative to the lowest polymorph listed for this composition (eV/atom): 0.0000
Total energy (eV per formula unit): -66.892
Raw formation energy (eV per atom): 0.02

```
Cr2SiAs
1.0
4.108 0.000 0.000
0.000 2.906 0.000
0.000 0.000 4.112
Si Cr As
1 2 1
direct
0.500 0.500 0.000
0.000 0.000 0.000
0.500 0.000 0.500
0.000 0.500 0.500
```

[4]
Computed, not measured: CrSi2As at its PBEsol-relaxed geometry at the SCAN level of DFT.

Total magnetic moment (Bohr magnetons per cell): 3.35
Space-group type: I-4m2
Total energy (eV per formula unit): -57.159
Raw formation energy (eV per atom): 0.36

```
CrSi2As
1.0
3.947 0.000 0.000
0.000 3.947 0.000
-1.974 -1.974 3.685
Cr Si As
1 2 1
direct
0.250 0.750 0.500
0.750 0.250 0.500
0.000 0.000 0.000
0.500 0.500 0.000
```

[5]
Computed, not measured: CrSi2As at its PBEsol-relaxed geometry at the SCAN level of DFT.

Total magnetic moment (Bohr magnetons per cell): 0.53
Space-group type: R-3m
Total energy (eV per formula unit): -57.330
Raw formation energy (eV per atom): 0.32

```
CrSi2As
1.0
2.928 0.000 0.000
1.464 2.536 0.000
1.464 0.845 7.600
Si As Cr
2 1 1
direct
0.260 0.260 0.220
0.740 0.740 0.780
0.500 0.500 0.500
0.000 0.000 0.000
```

[6]
Computed, not measured: CrSiAs2 at its PBEsol-relaxed geometry at the SCAN level of DFT.

Total magnetic moment (Bohr magnetons per cell): 2.82
Space-group type: Immm
Total energy (eV per formula unit): -67.542
Raw formation energy (eV per atom): 0.31

```
CrSiAs2
1.0
3.507 0.000 0.000
0.000 4.620 0.000
-1.753 -2.310 3.788
As Cr Si
2 1 1
direct
0.732 0.732 0.463
0.268 0.268 0.537
0.500 0.000 0.000
0.000 0.500 0.000
```

[7]
Computed, not measured: CrSi2TeAs at its PBEsol-relaxed geometry at the SCAN level of DFT.

Total magnetic moment (Bohr magnetons per cell): 4.74
Space-group type: P4/mmm
Total energy (eV per formula unit): -88.294
Raw formation energy (eV per atom): 1.51

```
CrSi2TeAs
1.0
5.117 0.000 0.000
0.000 5.117 0.000
0.000 0.000 5.205
Te As Si Cr
1 1 2 1
direct
0.000 0.000 0.000
0.000 0.000 0.500
0.000 0.500 0.000
0.500 0.000 0.000
0.500 0.500 0.500
```

[8]
Computed, not measured: Cr3SnAs at its PBEsol-relaxed geometry at the SCAN level of DFT.

ΔE_f (eV per formula unit): 4.9
Total magnetic moment (Bohr magnetons per cell): 11.27
Space-group type: Pm-3m
Total energy (eV per formula unit): -106.321

```
Cr3SnAs
1.0
4.935 0.000 0.000
0.000 4.935 0.000
0.000 0.000 4.935
Cr As Sn
3 1 1
direct
0.000 0.500 0.000
0.500 0.000 0.000
0.000 0.000 0.500
0.500 0.500 0.500
0.000 0.000 0.000
```